(1)
Rb3Na | PBEsol | relaxed

a b c (Å): 7.451 9.377 9.377
angles (deg): 120.00 90.00 90.00
Sites, in units of the cell vectors:
Na (0.750, 0.667, 0.333)
Na (0.250, 0.333, 0.667)
Rb (0.250, 0.827, 0.173)
Rb (0.250, 0.346, 0.173)
Rb (0.750, 0.654, 0.827)
Rb (0.750, 0.173, 0.346)
Rb (0.750, 0.173, 0.827)
Rb (0.250, 0.827, 0.654)

Properties
- ρ (g cm⁻³) = 1.6
- V (Å³/f.u.) = 284
- energy of formation (eV per formula unit) = 0.09

=====

(2)
Si2AgRu2 | PBEsol | relaxed

a b c (Å): 3.511 3.511 6.396
angles (deg): 105.93 105.93 90.00
Sites, in units of the cell vectors:
Si (0.750, 0.250, 0.500)
Si (0.250, 0.750, 0.500)
Ru (0.613, 0.613, 0.226)
Ru (0.387, 0.387, 0.774)
Ag (0.000, 0.000, 0.000)

Properties
- ρ (g cm⁻³) = 8.4
- formation energy without anion corrections (eV/atom) = -0.158
- V (Å³/f.u.) = 73

=====

(3)
Na2NbPtN | PBEsol | relaxed

a b c (Å): 3.818 5.730 5.730
angles (deg): 90.00 90.00 90.00
Sites, in units of the cell vectors:
Pt (0.500, 0.500, 0.500)
Na (0.000, 0.500, 0.000)
Na (0.000, 0.000, 0.500)
N (0.500, 0.000, 0.000)
Nb (0.000, 0.000, 0.000)

Properties
- ρ (g cm⁻³) = 4.6
- formation energy without anion corrections (eV/atom) = 1.107
- V (Å³/f.u.) = 125